# PBE with a Hubbard U CaFe2F, relaxed
# Total moment in Bohr magnetons per cell: 27.1
# Total DFT energy (no corrections) in eV for the cell shown: -54.7
data_CaFe2F
_space_group_name_H-M_alt 'F m -3 m'
_space_group_IT_number 225
_space_group_name_Hall '-F 4 2 3'
_cell_length_a 6.8352
_cell_length_b 6.8352
_cell_length_c 6.8352
_cell_angle_alpha 90.00
_cell_angle_beta 90.00
_cell_angle_gamma 90.00
loop_
_atom_site_label
_atom_site_type_symbol
_atom_site_fract_x
_atom_site_fract_y
_atom_site_fract_z
Ca1 Ca 0.0000 0.0000 0.0000
Fe1 Fe 0.2500 0.2500 0.2500
F1 F 0.0000 0.0000 0.5000